Record 1
PrHoPd | PBE-GGA | optimized geometry

a = 8.6835 Å, b = 8.6835 Å, c = 11.5796 Å
α = 120.12°, β = 120.12°, γ = 42.73°
Last column: nearest neighbours and their distance in Å.
Sites, in units of the cell vectors:
Pr (0.1028, 0.8972, 0.5000)  3 Pd 2.96-3.26
Pr (0.3294, 0.9794, 0.9015)  3 Pd 2.84-3.01
Pr (0.5645, 0.9264, 0.6599)  5 Pd 3.09-3.44
Pr (0.8972, 0.1028, 0.0000)  3 Pd 2.96-3.26
Pr (0.9264, 0.5645, 0.1599)  5 Pd 3.09-3.44
Pr (0.9794, 0.3294, 0.4015)  3 Pd 2.84-3.01
Ho (0.1547, 0.6389, 0.7113)  3 Pd 2.95-3.03
Ho (0.2493, 0.4593, 0.9594)  3 Pd 2.74-2.83
Ho (0.4151, 0.7538, 0.2739)  2 Pd 2.82-3.04
Ho (0.4593, 0.2493, 0.4594)  3 Pd 2.74-2.83
Ho (0.6389, 0.1547, 0.2113)  3 Pd 2.95-3.03
Ho (0.7538, 0.4151, 0.7739)  2 Pd 2.82-3.04
Pd (0.0487, 0.3606, 0.6906)  3 Ho 2.74-3.03, 1 Pd 2.97, 1 Pr 2.99
Pd (0.3606, 0.0487, 0.1906)  3 Ho 2.74-3.03, 1 Pd 2.97, 1 Pr 2.99
Pd (0.4668, 0.6122, 0.9888)  3 Ho 2.83-3.04, 1 Pd 2.97, 2 Pr 3.01-3.06
Pd (0.6122, 0.4668, 0.4888)  3 Ho 2.83-3.04, 1 Pd 2.97, 2 Pr 3.01-3.06
Pd (0.7707, 0.8321, 0.9469)  2 Ho 2.81-2.95, 3 Pr 2.84-3.09
Pd (0.8321, 0.7707, 0.4469)  2 Ho 2.81-2.95, 3 Pr 2.84-3.09

Values from the calculation:
Its formation energy is -476 meV per atom. For the total energy, the calculation gives -15.98 eV/f.u. Its space group is Cc (9).



Record 2
PrHoPd | PBE-GGA | optimized geometry

a = 4.9805 Å, b = 4.9805 Å, c = 4.9805 Å
α = 60.00°, β = 60.00°, γ = 60.00°
Last column: nearest neighbours and their distance in Å.
Sites, in units of the cell vectors:
Pr (0.0000, 0.0000, 0.0000)  4 Pd 3.05
Ho (0.5000, 0.5000, 0.5000)  4 Pd 3.05
Pd (0.2500, 0.2500, 0.2500)  4 Ho 3.05, 4 Pr 3.05

Values from the calculation:
Its formation energy is -412 meV per atom. For the total energy, the calculation gives -15.79 eV/f.u. Its space group is F-43m (216).



Record 3
PrHo3Pd | PBE-GGA | optimized geometry

a = 5.4621 Å, b = 5.4621 Å, c = 5.4621 Å
α = 90.00°, β = 90.00°, γ = 90.00°
Last column: nearest neighbours and their distance in Å.
Sites, in units of the cell vectors:
Pr (0.0000, 0.0000, 0.0000)  12 Ho 3.86
Ho (0.0000, 0.5000, 0.5000)  2 Pd 2.73
Ho (0.5000, 0.0000, 0.5000)  2 Pd 2.73
Ho (0.5000, 0.5000, 0.0000)  2 Pd 2.73
Pd (0.5000, 0.5000, 0.5000)  6 Ho 2.73

Values from the calculation:
Its formation energy is -187 meV per atom. For the total energy, the calculation gives -24.64 eV/f.u. Its space group is Pm-3m (221).



Record 4
PrHoPdPt | PBE-GGA | optimized geometry

a = 4.5419 Å, b = 5.7272 Å, c = 5.7272 Å
α = 39.15°, β = 90.00°, γ = 90.00°
Last column: nearest neighbours and their distance in Å.
Sites, in units of the cell vectors:
Pr (0.0000, 0.0000, 0.0000)  3 Pt 2.95-3.11, 4 Pd 3.03
Ho (0.5000, 0.7261, 0.7261)  4 Pt 3.02, 3 Pd 3.02-3.05
Pd (0.5000, 0.4460, 0.4460)  2 Pt 2.94, 3 Ho 3.02-3.05, 4 Pr 3.03
Pt (0.0000, 0.2729, 0.2729)  2 Pd 2.94, 3 Pr 2.95-3.11, 4 Ho 3.02

Values from the calculation:
Its formation energy is -1028 meV per atom. For the total energy, the calculation gives -24.70 eV/f.u. Its space group is Amm2 (38).